Material: Mn2NbFePd
Method: DFT, GGA-PBE
State: optimized geometry

Unit cell a=4.522 b=4.867 c=4.522 alpha=90.00 beta=90.00 gamma=90.00
Last column: magnetic moment on the atom in μB.
Fractional coordinates of all 5 atoms:
Mn: 0.500 0.000 0.000  2.97
Nb: 0.000 0.000 0.000  -0.84
Pd: 0.000 0.500 0.000  -0.03
Mn: 0.000 0.000 0.500  2.52
Fe: 0.500 0.500 0.500  3.24

Properties
- volume (A^3/atom) = 19.91
- DOS(E_F) (states/eV/f.u.) = 7.14
- total magnetization (μB/f.u.) = 8.07
- calculated density (g cm⁻³) = 6.09
- calculated formation energy (eV/f.u.) = 7.32